(1)
Pm12Ru6Au: optimized geometry, PBE.

a b c (Å): 10.0315 10.0315 10.0315
angles (deg): 90.00 90.00 90.00
Space group Im-3 (No. 204)
Inequivalent atoms, fractional coordinates:
Pm 0.0000 0.2958 0.1955 [24 per cell]
Ru 0.0000 0.1225 0.5000 [12 per cell]
Au 0.0000 0.0000 0.0000 [2 per cell]



(2)
Pm5Ru4Au: optimized geometry, PBE.

a b c (Å): 3.5018 3.5018 17.9620
angles (deg): 90.00 90.00 90.00
Space group P4/mmm (No. 123)
Inequivalent atoms, fractional coordinates:
Pm 0.0000 0.0000 0.0000 [1 per cell]
Pm 0.0000 0.0000 0.1925 [2 per cell]
Pm 0.0000 0.0000 0.3867 [2 per cell]
Ru 0.5000 0.5000 0.0968 [2 per cell]
Ru 0.5000 0.5000 0.2944 [2 per cell]
Au 0.5000 0.5000 0.5000 [1 per cell]



(3)
Pm4RuAu: optimized geometry, PBE.

a b c (Å): 8.9907 13.5660 6.3666
angles (deg): 90.00 119.73 90.00
Space group C2/c (No. 15)
Inequivalent atoms, fractional coordinates:
Pm 0.1189 0.1785 0.0864 [8 per cell]
Pm 0.2130 0.4327 0.3079 [8 per cell]
Ru 0.0000 0.9997 0.2500 [4 per cell]
Au 0.0000 0.3721 0.7500 [4 per cell]



(4)
Pm5RuAu4: optimized geometry, PBE.

a b c (Å): 3.6206 3.6206 18.5913
angles (deg): 90.00 90.00 90.00
Space group P4/mmm (No. 123)
Inequivalent atoms, fractional coordinates:
Pm 0.0000 0.0000 0.0000 [1 per cell]
Pm 0.0000 0.0000 0.2041 [2 per cell]
Pm 0.0000 0.0000 0.4084 [2 per cell]
Ru 0.5000 0.5000 0.5000 [1 per cell]
Au 0.5000 0.5000 0.1013 [2 per cell]
Au 0.5000 0.5000 0.3050 [2 per cell]



(5)
Pm5RuAu2: optimized geometry, PBE.

a b c (Å): 7.9275 11.9086 4.6424
angles (deg): 90.00 90.00 90.00
Space group Pbam (No. 55)
Inequivalent atoms, fractional coordinates:
Pm 0.0000 0.0000 0.0000 [2 per cell]
Pm 0.1532 0.2971 0.0000 [4 per cell]
Pm 0.1814 0.5800 0.5000 [4 per cell]
Ru 0.0000 0.5000 0.0000 [2 per cell]
Au 0.0660 0.8325 0.5000 [4 per cell]



(6)
Pm2RuAu: optimized geometry, PBE.

a b c (Å): 7.1822 7.1822 7.1822
angles (deg): 90.00 90.00 90.00
Space group Fm-3m (No. 225)
Inequivalent atoms, fractional coordinates:
Pm 0.2500 0.2500 0.2500 [8 per cell]
Ru 0.0000 0.0000 0.0000 [4 per cell]
Au 0.0000 0.0000 0.5000 [4 per cell]



Energy of formation from the pure elements, respectively: -0.23 -0.29 -0.39 -0.67 -0.52 -0.45 eV per atom.